A relaxed structure of Sr2DyHg3, computed with PBE-GGA.

As for the formation enthalpy at 0 K: -0.507 eV per atom. Its density of states at the Fermi level is 4.420 states/eV/cell.

Cell lengths 3.878, 3.878, 11.845 Å; angles 90.00, 90.00, 90.00 degrees
Space group P4/mmm (No. 123)
Inequivalent atoms, fractional coordinates:
Sr: 0.000 0.000 0.175 x2
Dy: 0.000 0.000 0.500 x1
Hg: 0.500 0.500 0.000 x1
Hg: 0.500 0.500 0.356 x2



A relaxed structure of KVSeN2, computed with PBE-GGA.

As for the uncorrected formation energy: 91.6 kJ/mol of formula units. Its density of states at the Fermi level is 3.018 states/eV/cell. The calculation puts the energy above the most stable polymorph in this dataset at 0.0 meV per atom.

Cell lengths 3.983, 3.983, 5.042 Å; angles 90.00, 90.00, 90.00 degrees
Space group P4/mmm (No. 123)
Inequivalent atoms, fractional coordinates:
K: 0.000 0.000 0.000 x1
V: 0.500 0.500 0.500 x1
Se: 0.500 0.500 0.000 x1
N: 0.000 0.500 0.500 x2



A relaxed structure of YAl2C, computed with PBE-GGA.

As for the formation enthalpy at 0 K: 0.085 eV per atom. Its density of states at the Fermi level is 7.072 states/eV/cell.

Cell lengths 7.149, 7.149, 5.194 Å; angles 90.00, 90.00, 90.00 degrees
Space group I-42d (No. 122)
Inequivalent atoms, fractional coordinates:
Y: 0.000 0.000 0.000 x4
Al: 0.152 0.250 0.625 x8
C: 0.000 0.000 0.500 x4



A relaxed structure of Ca2LaRh, computed with PBE-GGA.

As for the formation enthalpy at 0 K: -0.033 eV per atom. Its density of states at the Fermi level is 13.110 states/eV/cell. The calculation puts the energy above the most stable polymorph in this dataset at 377.5 meV per atom.

Cell lengths 3.6005, 3.6005, 32.2659 Å; angles 90.00, 90.00, 120.00 degrees
Space group R-3m (No. 166, hexagonal axes)
Inequivalent atoms, fractional coordinates:
Ca: 0.0000 0.0000 0.2272 x6
La: 0.0000 0.0000 0.0000 x3
Rh: 0.0000 0.0000 0.5000 x3



A relaxed structure of Pm3Ho5, computed with PBE-GGA.

As for the formation enthalpy at 0 K: 0.020 eV per atom. Its density of states at the Fermi level is 13.647 states/eV/cell. The calculation puts the energy above the most stable polymorph in this dataset at 2.2 meV per atom.

Cell lengths 3.635, 5.700, 12.605 Å; angles 90.00, 90.00, 90.00 degrees
Space group Pmm2 (No. 25)
Inequivalent atoms, fractional coordinates:
Pm: 0.000 0.000 0.000 x1
Pm: 0.000 0.500 0.174 x1
Pm: 0.500 0.000 0.255 x1
Ho: 0.000 0.000 0.507 x1
Ho: 0.000 0.500 0.669 x1
Ho: 0.500 0.000 0.751 x1
Ho: 0.500 0.500 0.425 x1
Ho: 0.500 0.500 0.915 x1



A relaxed structure of Lu2TaN, computed with PBE-GGA.

As for the uncorrected formation energy: -144.3 kJ/mol of formula units. Its density of states at the Fermi level is 10.010 states/eV/cell.

Cell lengths 3.2053, 3.2053, 25.8835 Å; angles 90.00, 90.00, 120.00 degrees
Space group R-3m (No. 166, hexagonal axes)
Inequivalent atoms, fractional coordinates:
Lu: 0.0000 0.0000 0.1148 x6
Ta: 0.0000 0.0000 0.0000 x3
N: 0.0000 0.0000 0.5000 x3



Calculated density
In order: 8.759 4.091 3.876 4.428 8.009 11.786
Unit: g/cm3